(1)
A plane-wave DFT calculation with GGA-PBE was carried out for crystalline HoInIr at its relaxed geometry.

Cell: 4.6652 4.6652 4.6652 Å, 60.00 60.00 60.00°
With the nearest neighbours (Å) after each atom.
Positions (direct):
Ho 0.0000 0.0000 0.0000  4 Ir 2.86
In 0.5000 0.5000 0.5000  4 Ir 2.86
Ir 0.2500 0.2500 0.2500  4 In 2.86, 4 Ho 2.86

formation energy from the elements	-0.58	eV/atom
magnetization	0.0	μB/cell


(2)
A plane-wave DFT calculation with GGA-PBE was carried out for crystalline Pr2SiGePd6 at its relaxed geometry.

Cell: 5.5868 8.7436 8.1987 Å, 90.00 90.00 90.00°
With the nearest neighbours (Å) after each atom.
Positions (direct):
Pr 0.2500 0.0035 0.2317  11 Pd 3.07-3.42
Pr 0.2500 0.4965 0.2317  11 Pd 3.07-3.42
Pr 0.7500 0.5035 0.7683  11 Pd 3.07-3.42
Pr 0.7500 0.9965 0.7683  11 Pd 3.07-3.42
Si 0.2500 0.2500 0.7473  6 Pd 2.39-2.46
Si 0.7500 0.7500 0.2527  6 Pd 2.39-2.46
Ge 0.2500 0.7500 0.7650  6 Pd 2.48-2.59
Ge 0.7500 0.2500 0.2350  6 Pd 2.48-2.59
Pd 0.0006 0.7500 0.4994  1 Si 2.46, 1 Ge 2.59, 2 Pd 2.75
Pd 0.0021 0.2500 0.9856  1 Si 2.39, 1 Ge 2.48
Pd 0.2500 0.0010 0.6139  1 Si 2.44, 1 Ge 2.52
Pd 0.2500 0.4990 0.6139  1 Si 2.44, 1 Ge 2.52
Pd 0.4979 0.2500 0.9856  1 Si 2.39, 1 Ge 2.48
Pd 0.4994 0.7500 0.4994  1 Si 2.46, 1 Ge 2.59, 2 Pd 2.75
Pd 0.5006 0.2500 0.5006  1 Si 2.46, 1 Ge 2.59, 2 Pd 2.75
Pd 0.5021 0.7500 0.0144  1 Si 2.39, 1 Ge 2.48
Pd 0.7500 0.5010 0.3861  1 Si 2.44, 1 Ge 2.52
Pd 0.7500 0.9990 0.3861  1 Si 2.44, 1 Ge 2.52
Pd 0.9979 0.7500 0.0144  1 Si 2.39, 1 Ge 2.48
Pd 0.9994 0.2500 0.5006  1 Si 2.46, 1 Ge 2.59, 2 Pd 2.75

final energy	-116.51	eV per cell
magnetization	0.0	μB/cell


(3)
A plane-wave DFT calculation with GGA-PBE was carried out for crystalline Sc2CdCo at its relaxed geometry.

Cell: 5.1411 5.1411 5.1411 Å, 132.17 132.17 69.95°
With the nearest neighbours (Å) after each atom.
Positions (direct):
Sc 0.0000 0.0000 0.0000  4 Co 2.95, 4 Cd 2.96, 4 Sc 2.96
Sc 0.7500 0.2500 0.5000  4 Cd 2.95, 4 Co 2.96, 4 Sc 2.96
Cd 0.2500 0.7500 0.5000  8 Sc 2.95-2.96, 4 Co 2.96
Co 0.5000 0.5000 0.0000  8 Sc 2.95-2.96, 4 Cd 2.96

formation energy from the elements	-0.04	eV/atom
magnetization	0.0	μB/cell


(4)
A plane-wave DFT calculation with GGA-PBE was carried out for crystalline Mg2BeTl at its relaxed geometry.

Cell: 5.3156 5.3156 5.3156 Å, 132.86 132.86 68.87°
With the nearest neighbours (Å) after each atom.
Positions (direct):
Mg 0.0000 0.0000 0.0000  4 Be 3.01, 4 Tl 3.05, 4 Mg 3.05
Mg 0.7500 0.2500 0.5000  4 Tl 3.01, 4 Mg 3.05, 4 Be 3.05
Be 0.5000 0.5000 0.0000  8 Mg 3.01-3.05, 4 Tl 3.05
Tl 0.2500 0.7500 0.5000  8 Mg 3.01-3.05, 4 Be 3.05

formation energy from the elements	0.32	eV/atom
magnetization	0.0	μB/cell


(5)
A plane-wave DFT calculation with GGA-PBE was carried out for crystalline NaNpAgCl6 at its relaxed geometry.

Cell: 6.9152 6.9152 12.0937 Å, 90.00 90.00 120.00°
With the nearest neighbours (Å) after each atom.
Positions (direct):
Na 0.3333 0.6667 0.2500  6 Cl 2.83
Na 0.6667 0.3333 0.7500  6 Cl 2.83
Np 0.3333 0.6667 0.7500  6 Cl 2.62
Np 0.6667 0.3333 0.2500  6 Cl 2.62
Ag 0.0000 0.0000 0.0000  6 Cl 2.81
Ag 0.0000 0.0000 0.5000  6 Cl 2.81
Cl 0.0233 0.3518 0.6270  1 Np 2.62, 1 Ag 2.81, 1 Na 2.83
Cl 0.0233 0.6715 0.8730  1 Np 2.62, 1 Ag 2.81, 1 Na 2.83
Cl 0.3285 0.3518 0.8730  1 Np 2.62, 1 Ag 2.81, 1 Na 2.83
Cl 0.3285 0.9767 0.6270  1 Np 2.62, 1 Ag 2.81, 1 Na 2.83
Cl 0.3518 0.0233 0.1270  1 Np 2.62, 1 Ag 2.81, 1 Na 2.83
Cl 0.3518 0.3285 0.3730  1 Np 2.62, 1 Ag 2.81, 1 Na 2.83
Cl 0.6482 0.6715 0.6270  1 Np 2.62, 1 Ag 2.81, 1 Na 2.83
Cl 0.6482 0.9767 0.8730  1 Np 2.62, 1 Ag 2.81, 1 Na 2.83
Cl 0.6715 0.0233 0.3730  1 Np 2.62, 1 Ag 2.81, 1 Na 2.83
Cl 0.6715 0.6482 0.1270  1 Np 2.62, 1 Ag 2.81, 1 Na 2.83
Cl 0.9767 0.3285 0.1270  1 Np 2.62, 1 Ag 2.81, 1 Na 2.83
Cl 0.9767 0.6482 0.3730  1 Np 2.62, 1 Ag 2.81, 1 Na 2.83

final energy	-81.78	eV per cell
magnetization	6.0	μB/cell


(6)
A plane-wave DFT calculation with GGA-PBE was carried out for crystalline RbCd6Sb4 at its relaxed geometry.

Cell: 14.4698 14.4695 5.0041 Å, 80.05 80.04 19.91°
With the nearest neighbours (Å) after each atom.
Positions (direct):
Rb 0.0000 0.0000 0.0000  8 Sb 4.09, 8 Cd 4.38
Cd 0.1282 0.1282 0.3718  4 Sb 2.94-3.09
Cd 0.2500 0.2500 0.2500  4 Sb 2.97
Cd 0.3718 0.3718 0.1282  4 Sb 2.94-3.09
Cd 0.6282 0.6282 0.8718  4 Sb 2.94-3.09
Cd 0.7500 0.7500 0.7500  4 Sb 2.97
Cd 0.8718 0.8718 0.6282  4 Sb 2.94-3.09
Sb 0.1927 0.1927 0.8073  8 Cd 2.97-3.09
Sb 0.4271 0.4271 0.5729  4 Cd 2.94
Sb 0.5729 0.5729 0.4271  4 Cd 2.94
Sb 0.8073 0.8073 0.1927  8 Cd 2.97-3.09

final energy	-24.23	eV per cell
magnetization	0.0	μB/cell


(7)
A plane-wave DFT calculation with GGA-PBE was carried out for crystalline TmH2F6 at its relaxed geometry.

Cell: 3.9178 3.9178 8.0972 Å, 94.11 94.11 60.22°
With the nearest neighbours (Å) after each atom.
Positions (direct):
Tm 0.0000 0.0000 0.0000  8 F 2.14-2.31
H 0.1403 0.1403 0.3778  2 F 1.11-1.19
H 0.8597 0.8597 0.6222  2 F 1.11-1.19
F 0.0356 0.0356 0.2649  1 H 1.11
F 0.2532 0.2532 0.4985  1 H 1.19
F 0.3389 0.3389 0.0539  3 Tm 2.30-2.31, 3 F 2.42-2.43
F 0.6611 0.6611 0.9461  3 Tm 2.30-2.31, 3 F 2.42-2.43
F 0.7468 0.7468 0.5015  1 H 1.19
F 0.9644 0.9644 0.7351  1 H 1.11

final energy	-44.73	eV per cell
magnetization	0.0	μB/cell


(8)
A plane-wave DFT calculation with GGA-PBE was carried out for crystalline Ir3PtSe at its relaxed geometry.

Cell: 4.8195 4.8195 4.8195 Å, 90.00 90.00 90.00°
With the nearest neighbours (Å) after each atom.
Positions (direct):
Ir 0.0000 0.0000 0.5000  2 Pt 2.41
Ir 0.0000 0.5000 0.0000  2 Pt 2.41
Ir 0.5000 0.0000 0.0000  2 Pt 2.41
Pt 0.0000 0.0000 0.0000  6 Ir 2.41
Se 0.5000 0.5000 0.5000  12 Ir 3.41

final energy	-25.64	eV per cell
magnetization	3.7	μB/cell


(9)
A plane-wave DFT calculation with GGA-PBE was carried out for crystalline Sm5Dy4In4 at its relaxed geometry.

Cell: 9.1216 9.1216 9.1216 Å, 94.51 94.51 147.42°
With the nearest neighbours (Å) after each atom.
Positions (direct):
Sm 0.0000 0.0000 0.0000  4 In 3.20
Sm 0.3104 0.4019 0.7123  5 In 3.25-3.64, 2 Dy 3.59
Sm 0.4019 0.6896 0.0915  5 In 3.25-3.64, 2 Dy 3.59
Sm 0.5981 0.3104 0.9085  5 In 3.25-3.64, 2 Dy 3.59
Sm 0.6896 0.5981 0.2877  5 In 3.25-3.64, 2 Dy 3.59
Dy 0.0958 0.6075 0.7033  3 In 3.16-3.30
Dy 0.3925 0.0958 0.4883  3 In 3.16-3.30
Dy 0.6075 0.9042 0.5117  3 In 3.16-3.30
Dy 0.9042 0.3925 0.2967  3 In 3.16-3.30
In 0.1054 0.2361 0.3416  3 Dy 3.16-3.30, 4 Sm 3.20-3.26
In 0.2361 0.8946 0.1307  3 Dy 3.16-3.30, 4 Sm 3.20-3.26
In 0.7639 0.1054 0.8693  3 Dy 3.16-3.30, 4 Sm 3.20-3.26
In 0.8946 0.7639 0.6584  3 Dy 3.16-3.30, 4 Sm 3.20-3.26

formation energy from the elements	-0.31	eV/atom
magnetization	0.0	μB/cell


(10)
A plane-wave DFT calculation with GGA-PBE was carried out for crystalline LiAlGe at its relaxed geometry.

Cell: 4.8522 4.8522 9.4310 Å, 90.00 90.00 120.00°
With the nearest neighbours (Å) after each atom.
Positions (direct):
Li 0.3333 0.6667 0.2500  3 Al 2.80
Li 0.6667 0.3333 0.7500  3 Al 2.80
Al 0.0000 0.0000 0.2500  2 Ge 2.36
Al 0.0000 0.0000 0.7500  2 Ge 2.36
Ge 0.0000 0.0000 0.0000  2 Al 2.36
Ge 0.0000 0.0000 0.5000  2 Al 2.36

formation energy from the elements	0.74	eV/atom
magnetization	0.0	μB/cell


Q: Which formula does entry 8 have?
A: Ir3PtSe


Q: magnetization of number 1 (HoInIr)?
A: 0.0 μB/cell